1.
Computed, not measured: a geometry-optimized PPtCO2 structure at the PBE-GGA level of DFT.

Cell: 3.569 3.569 3.970 Å, 90.00 90.00 90.00°
Sites, in units of the cell vectors:
P (0.000, 0.000, 0.000)
Pt (0.500, 0.500, 0.000)
C (0.000, 0.000, 0.500)
O (0.000, 0.500, 0.500)
O (0.500, 0.000, 0.500)

The formation energy without anion corrections is 522.8 kJ/mol of formula units. As for the crystal system: tetragonal. The calculation puts the total energy at -5.035 eV/atom.

2.
Computed, not measured: a geometry-optimized PPtCO2 structure at the PBE-GGA level of DFT.

Cell: 3.701 3.701 5.411 Å, 90.00 90.00 90.00°
Sites, in units of the cell vectors:
P (0.000, 0.000, 0.000)
Pt (0.000, 0.000, 0.500)
C (0.500, 0.500, 0.000)
O (0.000, 0.500, 0.500)
O (0.500, 0.000, 0.500)

The formation energy without anion corrections is 658.1 kJ/mol of formula units. As for the crystal system: tetragonal. The calculation puts the total energy at -4.754 eV/atom.

3.
Computed, not measured: a geometry-optimized RbP2CO structure at the PBE-GGA level of DFT.

Cell: 6.922 6.922 5.016 Å, 90.00 90.00 90.00°
Sites, in units of the cell vectors:
Rb (0.000, 0.000, 0.000)
P (0.000, 0.500, 0.000)
P (0.500, 0.000, 0.000)
C (0.500, 0.500, 0.500)
O (0.000, 0.000, 0.500)

The formation energy without anion corrections is 1407.1 kJ/mol of formula units. As for the crystal system: tetragonal. The calculation puts the total energy at -2.277 eV/atom.

4.
Computed, not measured: a geometry-optimized RbP2CO structure at the PBE-GGA level of DFT.

Cell: 3.839 3.839 7.213 Å, 90.00 90.00 90.00°
Sites, in units of the cell vectors:
Rb (0.000, 0.000, 0.000)
P (0.000, 0.500, 0.500)
P (0.500, 0.000, 0.500)
C (0.500, 0.500, 0.500)
O (0.500, 0.500, 0.000)

The formation energy without anion corrections is 446.7 kJ/mol of formula units. As for the crystal system: tetragonal. The calculation puts the total energy at -4.268 eV/atom.

5.
Computed, not measured: a geometry-optimized RePCO2 structure at the PBE-GGA level of DFT.

Cell: 3.679 3.679 5.130 Å, 90.00 90.00 90.00°
Sites, in units of the cell vectors:
Re (0.000, 0.000, 0.000)
P (0.000, 0.000, 0.500)
C (0.500, 0.500, 0.500)
O (0.000, 0.500, 0.000)
O (0.500, 0.000, 0.000)

The formation energy without anion corrections is 212.1 kJ/mol of formula units. As for the crystal system: tetragonal. The calculation puts the total energy at -6.960 eV/atom.

6.
Computed, not measured: a geometry-optimized RePCO2 structure at the PBE-GGA level of DFT.

Cell: 3.610 3.610 3.804 Å, 90.00 90.00 90.00°
Sites, in units of the cell vectors:
Re (0.000, 0.000, 0.000)
P (0.500, 0.500, 0.000)
C (0.500, 0.500, 0.500)
O (0.000, 0.500, 0.500)
O (0.500, 0.000, 0.500)

The formation energy without anion corrections is 601.6 kJ/mol of formula units. As for the crystal system: tetragonal. The calculation puts the total energy at -6.153 eV/atom.

7.
Computed, not measured: a geometry-optimized PRhCO2 structure at the PBE-GGA level of DFT.

Cell: 3.573 3.573 3.867 Å, 90.00 90.00 90.00°
Sites, in units of the cell vectors:
P (0.000, 0.000, 0.000)
Rh (0.500, 0.500, 0.000)
C (0.000, 0.000, 0.500)
O (0.000, 0.500, 0.500)
O (0.500, 0.000, 0.500)

The formation energy without anion corrections is 483.0 kJ/mol of formula units. As for the crystal system: tetragonal. The calculation puts the total energy at -5.379 eV/atom.

8.
Computed, not measured: a geometry-optimized PRhCO2 structure at the PBE-GGA level of DFT.

Cell: 3.646 3.646 5.309 Å, 90.00 90.00 90.00°
Sites, in units of the cell vectors:
P (0.000, 0.000, 0.000)
Rh (0.000, 0.000, 0.500)
C (0.500, 0.500, 0.000)
O (0.000, 0.500, 0.500)
O (0.500, 0.000, 0.500)

The formation energy without anion corrections is 537.4 kJ/mol of formula units. As for the crystal system: tetragonal. The calculation puts the total energy at -5.266 eV/atom.